Entry 1:
# PBE-GGA Nd12SmDy6, optimized geometry
# Magnetic moment, Bohr magnetons per cell: 0.0
# Raw total energy, eV per atom: -4.581
# Formation energy from the elements, eV/atom: 0.132
# Energy relative to the lowest polymorph listed for this composition, eV per formula unit: 0.00
data_Nd12SmDy6
_space_group_name_H-M_alt 'R -3'
_space_group_IT_number 148
_space_group_name_Hall '-R 3'
_cell_length_a 12.1816
_cell_length_b 12.1816
_cell_length_c 15.3636
_cell_angle_alpha 90.00
_cell_angle_beta 90.00
_cell_angle_gamma 120.00
loop_
_atom_site_label
_atom_site_type_symbol
_atom_site_fract_x
_atom_site_fract_y
_atom_site_fract_z
Nd1 Nd 0.0043 0.8297 0.1918
Nd2 Nd 0.0468 0.8496 0.4166
Sm1 Sm 0.0000 0.0000 0.0000
Dy1 Dy 0.0148 0.4273 0.6861

***

Entry 2:
# PBE-GGA NdSmDy2, optimized geometry
# Magnetic moment, Bohr magnetons per cell: 0.0
# Raw total energy, eV per atom: -4.654
# Formation energy from the elements, eV/atom: 0.018
# Energy relative to the lowest polymorph listed for this composition, eV per formula unit: 0.09
data_NdSmDy2
_space_group_name_H-M_alt 'P 4/m m m'
_space_group_IT_number 123
_space_group_name_Hall '-P 4 2'
_cell_length_a 3.599
_cell_length_b 3.599
_cell_length_c 10.169
_cell_angle_alpha 90.00
_cell_angle_beta 90.00
_cell_angle_gamma 90.00
loop_
_atom_site_label
_atom_site_type_symbol
_atom_site_fract_x
_atom_site_fract_y
_atom_site_fract_z
Nd1 Nd 0.000 0.000 0.000
Sm1 Sm 0.000 0.000 0.500
Dy1 Dy 0.500 0.500 0.252